# ReSN2F | the Alexandria database | PBE | relaxed
# - spin magnetization (μB/cell) = 1.1
# - DFT total energy (Ry/atom) = -0.4743
# - ΔE_f (raw) (eV per atom) = 0.567
data_ReSN2F
_cell_length_a 3.906
_cell_length_b 3.906
_cell_length_c 4.123
_cell_angle_alpha 90.00
_cell_angle_beta 90.00
_cell_angle_gamma 90.00
_space_group_name_H-M_alt 'P 4/m m m'
_space_group_IT_number 123
_space_group_name_Hall '-P 4 2'
loop_
_atom_site_label
_atom_site_type_symbol
_atom_site_fract_x
_atom_site_fract_y
_atom_site_fract_z
Re1 Re 0.000 0.000 0.000
S1 S 0.500 0.500 0.500
N1 N 0.000 0.500 0.000
F1 F 0.000 0.000 0.500

=====

# Tb4GeC | the Alexandria database | PBE | relaxed
# - spin magnetization (μB/cell) = 0.0
# - DFT total energy (Ry/atom) = -0.4183
# - ΔH_f (0 K) (meV per atom) = -297
data_Tb4GeC
_cell_length_a 9.175
_cell_length_b 7.325
_cell_length_c 9.429
_cell_angle_alpha 90.00
_cell_angle_beta 90.00
_cell_angle_gamma 90.00
_space_group_name_H-M_alt 'C m c m'
_space_group_IT_number 63
_space_group_name_Hall '-C 2c 2'
loop_
_atom_site_label
_atom_site_type_symbol
_atom_site_fract_x
_atom_site_fract_y
_atom_site_fract_z
Tb1 Tb 0.000 0.238 0.043
Tb2 Tb 0.206 0.418 0.750
Ge1 Ge 0.000 0.085 0.750
C1 C 0.000 0.404 0.250

=====

# Tb4Ho3Mg | the Alexandria database | PBE | relaxed
# - spin magnetization (μB/cell) = 0.0
# - DFT total energy (Ry/atom) = -0.2945
# - ΔH_f (0 K) (meV per atom) = 224
data_Tb4Ho3Mg
_cell_length_a 25.503
_cell_length_b 3.383
_cell_length_c 5.846
_cell_angle_alpha 90.00
_cell_angle_beta 95.67
_cell_angle_gamma 90.00
_space_group_name_H-M_alt 'C 1 2/m 1'
_space_group_IT_number 12
loop_
_space_group_symop_operation_xyz
'x,y,z'
'-x,-y,-z'
'-x,y,-z'
'x,-y,z'
'x+1/2,y+1/2,z'
'-x+1/2,-y+1/2,-z'
'-x+1/2,y+1/2,-z'
'x+1/2,-y+1/2,z'
loop_
_atom_site_label
_atom_site_type_symbol
_atom_site_fract_x
_atom_site_fract_y
_atom_site_fract_z
Tb1 Tb 0.102 0.000 0.197
Tb2 Tb 0.218 0.500 0.238
Ho1 Ho 0.000 0.000 0.500
Ho2 Ho 0.149 0.000 0.716
Mg1 Mg 0.000 0.500 0.000

=====

# PmGdMgGe | the Alexandria database | PBE | relaxed
# - spin magnetization (μB/cell) = 29.5
# - DFT total energy (Ry/atom) = -0.4878
# - ΔH_f (0 K) (meV per atom) = -376
data_PmGdMgGe
_cell_length_a 7.381
_cell_length_b 7.381
_cell_length_c 7.381
_cell_angle_alpha 90.00
_cell_angle_beta 90.00
_cell_angle_gamma 90.00
_space_group_name_H-M_alt 'F -4 3 m'
_space_group_IT_number 216
_space_group_name_Hall 'F -4 2 3'
loop_
_atom_site_label
_atom_site_type_symbol
_atom_site_fract_x
_atom_site_fract_y
_atom_site_fract_z
Pm1 Pm 0.000 0.000 0.000
Gd1 Gd 0.000 0.000 0.500
Mg1 Mg 0.250 0.250 0.250
Ge1 Ge 0.250 0.250 0.750

=====

# ScTcNiMo | the Alexandria database | PBE | relaxed
# - spin magnetization (μB/cell) = 0.0
# - DFT total energy (Ry/atom) = -0.6212
# - ΔH_f (0 K) (meV per atom) = -124
data_ScTcNiMo
_cell_length_a 6.247
_cell_length_b 6.247
_cell_length_c 6.247
_cell_angle_alpha 90.00
_cell_angle_beta 90.00
_cell_angle_gamma 90.00
_space_group_name_H-M_alt 'F -4 3 m'
_space_group_IT_number 216
_space_group_name_Hall 'F -4 2 3'
loop_
_atom_site_label
_atom_site_type_symbol
_atom_site_fract_x
_atom_site_fract_y
_atom_site_fract_z
Sc1 Sc 0.000 0.000 0.000
Tc1 Tc 0.250 0.250 0.250
Ni1 Ni 0.250 0.250 0.750
Mo1 Mo 0.000 0.000 0.500

=====

# Cs2CuBr7 | the Alexandria database | PBE | relaxed
# - spin magnetization (μB/cell) = 0.0
# - DFT total energy (Ry/atom) = -0.1903
# - ΔE_f (raw) (eV per atom) = -0.837
data_Cs2CuBr7
_cell_length_a 8.056
_cell_length_b 8.056
_cell_length_c 11.567
_cell_angle_alpha 90.00
_cell_angle_beta 90.00
_cell_angle_gamma 90.00
_space_group_name_H-M_alt 'I 4/m m m'
_space_group_IT_number 139
_space_group_name_Hall '-I 4 2'
loop_
_atom_site_label
_atom_site_type_symbol
_atom_site_fract_x
_atom_site_fract_y
_atom_site_fract_z
Cs1 Cs 0.000 0.500 0.250
Cu1 Cu 0.000 0.000 0.000
Br1 Br 0.000 0.000 0.278
Br2 Br 0.000 0.000 0.500
Br3 Br 0.207 0.207 0.000

=====

# Na3LiRh | the Alexandria database | PBE | relaxed
# - spin magnetization (μB/cell) = 0.0
# - DFT total energy (Ry/atom) = -0.1590
# - ΔH_f (0 K) (meV per atom) = 480
data_Na3LiRh
_cell_length_a 5.395
_cell_length_b 5.395
_cell_length_c 5.395
_cell_angle_alpha 90.00
_cell_angle_beta 90.00
_cell_angle_gamma 90.00
_space_group_name_H-M_alt 'P m -3 m'
_space_group_IT_number 221
_space_group_name_Hall '-P 4 2 3'
loop_
_atom_site_label
_atom_site_type_symbol
_atom_site_fract_x
_atom_site_fract_y
_atom_site_fract_z
Na1 Na 0.000 0.000 0.500
Li1 Li 0.500 0.500 0.500
Rh1 Rh 0.000 0.000 0.000

=====

# YTeSeF2 | the Alexandria database | PBE | relaxed
# - spin magnetization (μB/cell) = 0.0
# - DFT total energy (Ry/atom) = -0.4214
# - ΔE_f (raw) (eV per atom) = -2.367
data_YTeSeF2
_cell_length_a 4.317
_cell_length_b 4.317
_cell_length_c 6.042
_cell_angle_alpha 90.00
_cell_angle_beta 90.00
_cell_angle_gamma 90.00
_space_group_name_H-M_alt 'P 4/m m m'
_space_group_IT_number 123
_space_group_name_Hall '-P 4 2'
loop_
_atom_site_label
_atom_site_type_symbol
_atom_site_fract_x
_atom_site_fract_y
_atom_site_fract_z
Y1 Y 0.000 0.000 0.000
Te1 Te 0.500 0.500 0.500
Se1 Se 0.000 0.000 0.500
F1 F 0.000 0.500 0.000